1.
{"formula": "HgIrRu2", "functional": "PBEsol", "state": "optimized geometry", "dft_energy_ev_per_cell": -88.716, "space_group": "R3m (160)", "crystal_system": "trigonal", "delta_e_f_ev_per_atom": 0.29, "cell": [[2.757, 0.000, 0.000], [-1.378, 2.387, 0.000], [0.000, 0.000, 27.313]], "species": ["Hg", "Hg", "Hg", "Ir", "Ir", "Ir", "Ru", "Ru", "Ru", "Ru", "Ru", "Ru"], "fractional_positions": [[0.000, 0.000, 0.000], [0.333, 0.667, 0.667], [0.667, 0.333, 0.333], [0.000, 0.000, 0.757], [0.333, 0.667, 0.424], [0.667, 0.333, 0.091], [0.000, 0.000, 0.244], [0.000, 0.000, 0.503], [0.333, 0.667, 0.169], [0.333, 0.667, 0.911], [0.667, 0.333, 0.577], [0.667, 0.333, 0.836]]}

=====

2.
{"formula": "MgAlPS2", "functional": "PBEsol", "state": "optimized geometry", "dft_energy_ev_per_cell": -20.647, "raw_formation_energy_ev_per_atom": -0.056, "space_group": "P4/mmm (123)", "crystal_system": "tetragonal", "cell": [[4.630, 0.000, 0.000], [0.000, 4.630, 0.000], [0.000, 0.000, 4.576]], "species": ["Mg", "Al", "P", "S", "S"], "fractional_positions": [[0.000, 0.000, 0.000], [0.500, 0.500, 0.500], [0.500, 0.500, 0.000], [0.000, 0.500, 0.500], [0.500, 0.000, 0.500]]}

=====

3.
{"formula": "KBaSeN2", "functional": "PBEsol", "state": "optimized geometry", "dft_energy_ev_per_cell": -19.258, "raw_formation_energy_ev_per_atom": 0.986, "space_group": "P4/mmm (123)", "crystal_system": "tetragonal", "cell": [[4.883, 0.000, 0.000], [0.000, 4.883, 0.000], [0.000, 0.000, 5.927]], "species": ["K", "Ba", "Se", "N", "N"], "fractional_positions": [[0.000, 0.000, 0.000], [0.500, 0.500, 0.500], [0.000, 0.000, 0.500], [0.000, 0.500, 0.000], [0.500, 0.000, 0.000]]}

=====

4.
{"formula": "Sc2Be2As", "functional": "PBEsol", "state": "optimized geometry", "dft_energy_ev_per_cell": -56.988, "space_group": "P4/mbm (127)", "crystal_system": "tetragonal", "delta_e_f_ev_per_atom": -0.44, "cell": [[6.114, 0.000, 0.000], [0.000, 6.114, 0.000], [0.000, 0.000, 3.972]], "species": ["Sc", "Sc", "Sc", "Sc", "Be", "Be", "Be", "Be", "As", "As"], "fractional_positions": [[0.169, 0.331, 0.000], [0.331, 0.831, 0.000], [0.669, 0.169, 0.000], [0.831, 0.669, 0.000], [0.122, 0.622, 0.500], [0.378, 0.122, 0.500], [0.622, 0.878, 0.500], [0.878, 0.378, 0.500], [0.000, 0.000, 0.500], [0.500, 0.500, 0.500]]}

=====

5.
{"formula": "Rb2MnGeS", "functional": "PBEsol", "state": "optimized geometry", "dft_energy_ev_per_cell": -19.143, "raw_formation_energy_ev_per_atom": 0.398, "space_group": "P4/mmm (123)", "crystal_system": "tetragonal", "cell": [[6.302, 0.000, 0.000], [0.000, 6.302, 0.000], [0.000, 0.000, 4.632]], "species": ["Rb", "Rb", "Mn", "Ge", "S"], "fractional_positions": [[0.000, 0.500, 0.000], [0.500, 0.000, 0.000], [0.000, 0.000, 0.500], [0.000, 0.000, 0.000], [0.500, 0.500, 0.500]]}

=====

6.
{"formula": "RuBr2O", "functional": "PBEsol", "state": "optimized geometry", "dft_energy_ev_per_cell": -45.883, "raw_formation_energy_ev_per_atom": 0.967, "space_group": "R-3m (166)", "crystal_system": "trigonal", "cell": [[3.051, 0.000, 0.000], [-1.526, 2.642, 0.000], [0.000, 0.000, 24.725]], "species": ["Ru", "Ru", "Ru", "Br", "Br", "Br", "Br", "Br", "Br", "O", "O", "O"], "fractional_positions": [[0.000, 0.000, 0.000], [0.333, 0.667, 0.667], [0.667, 0.333, 0.333], [0.000, 0.000, 0.094], [0.000, 0.000, 0.906], [0.333, 0.667, 0.573], [0.333, 0.667, 0.761], [0.667, 0.333, 0.239], [0.667, 0.333, 0.427], [0.000, 0.000, 0.500], [0.333, 0.667, 0.167], [0.667, 0.333, 0.833]]}

=====

7.
{"formula": "KFeP2", "functional": "PBEsol", "state": "optimized geometry", "dft_energy_ev_per_cell": -75.865, "polymorph_energy_mev_per_atom": 865, "space_group": "Fm-3m (225)", "crystal_system": "cubic", "delta_e_f_ev_per_atom": 0.68, "cell": [[6.432, 0.000, 0.000], [0.000, 6.432, 0.000], [0.000, 0.000, 6.432]], "species": ["K", "K", "K", "K", "Fe", "Fe", "Fe", "Fe", "P", "P", "P", "P", "P", "P", "P", "P"], "fractional_positions": [[0.000, 0.000, 0.000], [0.000, 0.500, 0.500], [0.500, 0.000, 0.500], [0.500, 0.500, 0.000], [0.000, 0.000, 0.500], [0.000, 0.500, 0.000], [0.500, 0.000, 0.000], [0.500, 0.500, 0.500], [0.250, 0.250, 0.250], [0.250, 0.250, 0.750], [0.250, 0.750, 0.250], [0.250, 0.750, 0.750], [0.750, 0.250, 0.250], [0.750, 0.250, 0.750], [0.750, 0.750, 0.250], [0.750, 0.750, 0.750]]}

=====

8.
{"formula": "FeCo2", "functional": "PBEsol", "state": "optimized geometry", "dft_energy_ev_per_cell": -97.278, "space_group": "I4_1/amd (141)", "crystal_system": "tetragonal", "delta_e_f_ev_per_atom": 0.04, "cell": [[-1.739, 1.739, 10.558], [1.739, -1.739, 10.558], [1.739, 1.739, -10.558]], "species": ["Fe", "Fe", "Fe", "Fe", "Co", "Co", "Co", "Co", "Co", "Co", "Co", "Co"], "fractional_positions": [[0.294, 0.544, 0.750], [0.456, 0.706, 0.750], [0.544, 0.294, 0.250], [0.706, 0.456, 0.250], [0.043, 0.793, 0.250], [0.125, 0.375, 0.750], [0.207, 0.957, 0.250], [0.375, 0.125, 0.250], [0.625, 0.875, 0.750], [0.793, 0.043, 0.750], [0.875, 0.625, 0.250], [0.957, 0.207, 0.750]]}

=====

9.
{"formula": "SbS2Cl2", "functional": "PBEsol", "state": "optimized geometry", "dft_energy_ev_per_cell": -31.444, "raw_formation_energy_ev_per_atom": 0.324, "space_group": "I4/mmm (139)", "crystal_system": "tetragonal", "cell": [[5.665, 0.000, 0.000], [0.000, 5.665, 0.000], [0.000, 0.000, 7.167]], "species": ["Sb", "Sb", "S", "S", "S", "S", "Cl", "Cl", "Cl", "Cl"], "fractional_positions": [[0.000, 0.000, 0.000], [0.500, 0.500, 0.500], [0.000, 0.000, 0.365], [0.000, 0.000, 0.635], [0.500, 0.500, 0.135], [0.500, 0.500, 0.865], [0.000, 0.500, 0.250], [0.000, 0.500, 0.750], [0.500, 0.000, 0.250], [0.500, 0.000, 0.750]]}

=====

10.
{"formula": "Mo2WSe4S2", "functional": "PBEsol", "state": "optimized geometry", "dft_energy_ev_per_cell": -68.193, "raw_formation_energy_ev_per_atom": -0.742, "polymorph_energy_mev_per_atom": 20, "space_group": "P3m1 (156)", "crystal_system": "trigonal", "cell": [[3.224, 0.000, 0.000], [-1.612, 2.792, 0.000], [0.000, 0.000, 20.295]], "species": ["Mo", "Mo", "W", "Se", "Se", "Se", "Se", "S", "S"], "fractional_positions": [[0.000, 0.000, 0.000], [0.333, 0.667, 0.315], [0.333, 0.667, 0.684], [0.000, 0.000, 0.232], [0.000, 0.000, 0.398], [0.000, 0.000, 0.601], [0.000, 0.000, 0.768], [0.333, 0.667, 0.075], [0.333, 0.667, 0.925]]}

=====

11.
{"formula": "Mg5As4H22O26", "functional": "PBEsol", "state": "optimized geometry", "dft_energy_ev_per_cell": -321.057, "space_group": "P-1 (2)", "crystal_system": "triclinic", "cell": [[6.647, 0.000, 0.000], [0.740, 7.650, 0.000], [1.585, 1.527, 10.198]], "species": ["Mg", "Mg", "Mg", "Mg", "Mg", "As", "As", "As", "As", "H", "H", "H", "H", "H", "H", "H", "H", "H", "H", "H", "H", "H", "H", "H", "H", "H", "H", "H", "H", "H", "H", "O", "O", "O", "O", "O", "O", "O", "O", "O", "O", "O", "O", "O", "O", "O", "O", "O", "O", "O", "O", "O", "O", "O", "O", "O", "O"], "fractional_positions": [[0.000, 0.000, 0.000], [0.111, 0.632, 0.568], [0.398, 0.919, 0.404], [0.602, 0.081, 0.596], [0.889, 0.368, 0.432], [0.083, 0.038, 0.663], [0.402, 0.370, 0.367], [0.598, 0.630, 0.633], [0.917, 0.962, 0.337], [0.091, 0.467, 0.139], [0.106, 0.335, 0.766], [0.118, 0.762, 0.856], [0.185, 0.650, 0.989], [0.194, 0.186, 0.296], [0.259, 0.212, 0.064], [0.266, 0.478, 0.772], [0.332, 0.473, 0.125], [0.354, 0.010, 0.103], [0.371, 0.127, 0.812], [0.470, 0.720, 0.221], [0.530, 0.280, 0.779], [0.629, 0.873, 0.188], [0.646, 0.990, 0.897], [0.668, 0.527, 0.875], [0.734, 0.522, 0.228], [0.741, 0.788, 0.936], [0.806, 0.814, 0.704], [0.815, 0.350, 0.011], [0.882, 0.238, 0.144], [0.894, 0.665, 0.234], [0.909, 0.533, 0.861], [0.022, 0.820, 0.701], [0.098, 0.122, 0.803], [0.107, 0.846, 0.415], [0.124, 0.467, 0.750], [0.156, 0.773, 0.942], [0.174, 0.439, 0.446], [0.219, 0.451, 0.077], [0.261, 0.087, 0.048], [0.314, 0.047, 0.568], [0.354, 0.180, 0.304], [0.414, 0.683, 0.534], [0.482, 0.852, 0.219], [0.487, 0.512, 0.231], [0.513, 0.488, 0.769], [0.518, 0.148, 0.781], [0.586, 0.317, 0.466], [0.646, 0.820, 0.696], [0.686, 0.953, 0.432], [0.739, 0.913, 0.952], [0.781, 0.549, 0.923], [0.826, 0.561, 0.554], [0.844, 0.227, 0.058], [0.876, 0.533, 0.250], [0.893, 0.154, 0.585], [0.902, 0.878, 0.197], [0.978, 0.180, 0.299]]}

=====

12.
{"formula": "RbCuSb3", "functional": "PBEsol", "state": "optimized geometry", "dft_energy_ev_per_cell": -9.512, "raw_formation_energy_ev_per_atom": 1.904, "space_group": "Pm-3m (221)", "crystal_system": "cubic", "cell": [[5.831, 0.000, 0.000], [0.000, 5.831, 0.000], [0.000, 0.000, 5.831]], "species": ["Rb", "Cu", "Sb", "Sb", "Sb"], "fractional_positions": [[0.000, 0.000, 0.000], [0.500, 0.500, 0.500], [0.000, 0.000, 0.500], [0.000, 0.500, 0.000], [0.500, 0.000, 0.000]]}